Material: Pm4HoEr
Method: DFT, GGA-PBE
State: optimized geometry

a b c (Å): 6.1249 5.8183 12.0092
angles (deg): 104.01 104.77 90.00
Positions (direct):
Pm (0.3634, 0.9139, 0.3279)
Pm (0.9645, 0.4139, 0.3279)
Pm (0.7603, 0.8306, 0.1616)
Pm (0.4012, 0.3306, 0.1616)
Pm (0.2397, 0.1694, 0.8384)
Pm (0.5988, 0.6694, 0.8384)
Pm (0.6366, 0.0861, 0.6721)
Pm (0.0355, 0.5861, 0.6721)
Ho (0.5000, 0.5000, 0.5000)
Ho (0.0000, 0.0000, 0.5000)
Er (0.1717, 0.7500, 0.0000)
Er (0.8283, 0.2500, 0.0000)

Computed properties:
- Electronic total energy: -55.46 eV per cell
- DFT formation energy: 0.41 eV/f.u.
- ΔE to the lowest computed polymorph: 11 meV/atom